1.
! As2Ir3 | Alexandria via LeMat-Bulk | PBE | relaxed; values from VASP
&SYSTEM
  ibrav = 0, nat = 5, ntyp = 2
/
ATOMIC_SPECIES
Ir 192.22 Ir.upf
As 74.92 As.upf
ATOMIC_POSITIONS crystal
Ir 0.780 0.780 0.780
Ir 0.220 0.220 0.220
Ir 0.000 0.000 0.000
As 0.592 0.592 0.592
As 0.408 0.408 0.408
CELL_PARAMETERS angstrom
-5.296 -2.782 -0.261
-2.587 -4.758 -2.554
-2.547 -5.212 1.482
! Formation energy from the elements, meV per atom: 165.9
! N(E_F), states/eV/cell: 4.04
! Spin magnetization, μB/f.u.: 0.00

2.
! As3Ir2 | Alexandria via LeMat-Bulk | PBE | relaxed; values from VASP
&SYSTEM
  ibrav = 0, nat = 10, ntyp = 2
/
ATOMIC_SPECIES
As 74.92 As.upf
Ir 192.22 Ir.upf
ATOMIC_POSITIONS crystal
As 0.082 0.750 0.250
As 0.246 0.573 0.761
As 0.580 0.927 0.739
As 0.420 0.073 0.261
As 0.754 0.427 0.239
As 0.918 0.250 0.750
Ir 0.341 0.349 0.472
Ir 0.838 0.849 0.972
Ir 0.659 0.651 0.528
Ir 0.162 0.151 0.028
CELL_PARAMETERS angstrom
-5.457 2.416 2.387
-5.663 -2.975 -1.281
-3.107 -2.999 4.586
! Formation energy from the elements, meV per atom: -206.6
! N(E_F), states/eV/cell: 5.34
! Spin magnetization, μB/f.u.: 0.00

3.
! AsIr | Alexandria via LeMat-Bulk | PBE | relaxed; values from VASP
&SYSTEM
  ibrav = 0, nat = 4, ntyp = 2
/
ATOMIC_SPECIES
As 74.92 As.upf
Ir 192.22 Ir.upf
ATOMIC_POSITIONS crystal
As 0.500 0.500 0.500
As 0.000 0.000 0.000
Ir 0.500 0.000 0.750
Ir 0.000 0.500 0.250
CELL_PARAMETERS angstrom
2.972 0.000 0.000
0.000 2.972 0.000
0.000 0.000 7.779
! Formation energy from the elements, meV per atom: -62.3
! N(E_F), states/eV/cell: 1.93
! Spin magnetization, μB/f.u.: 0.00

4.
! As3Ir | Alexandria via LeMat-Bulk | PBE | relaxed; values from VASP
&SYSTEM
  ibrav = 0, nat = 4, ntyp = 2
/
ATOMIC_SPECIES
As 74.92 As.upf
Ir 192.22 Ir.upf
ATOMIC_POSITIONS crystal
As 0.000 0.000 0.072
As 0.500 0.000 0.429
As 0.500 0.500 0.756
Ir 0.000 0.500 0.409
CELL_PARAMETERS angstrom
-2.876 -1.248 -1.778
1.994 -3.432 -0.815
-1.842 -2.134 4.477
! Formation energy from the elements, meV per atom: 273.4
! N(E_F), states/eV/cell: 2.74
! Spin magnetization, μB/f.u.: 0.00

- What is the formula in the first record?
  As2Ir3

Repeat the third record exactly.
! AsIr | Alexandria via LeMat-Bulk | PBE | relaxed; values from VASP
&SYSTEM
  ibrav = 0, nat = 4, ntyp = 2
/
ATOMIC_SPECIES
As 74.92 As.upf
Ir 192.22 Ir.upf
ATOMIC_POSITIONS crystal
As 0.500 0.500 0.500
As 0.000 0.000 0.000
Ir 0.500 0.000 0.750
Ir 0.000 0.500 0.250
CELL_PARAMETERS angstrom
2.972 0.000 0.000
0.000 2.972 0.000
0.000 0.000 7.779
! Formation energy from the elements, meV per atom: -62.3
! N(E_F), states/eV/cell: 1.93
! Spin magnetization, μB/f.u.: 0.00

- Which of these has the highest formation energy from the elements?
  As3Ir